# NbHgSb

A geometry-optimized NbHgSb structure (PBE-GGA, the Open Quantum Materials Database).

Cell: 4.7176 4.7176 4.7176 Å, 60.00 60.00 60.00°
Fractional positions:
Nb 0.0000 0.0000 0.0000
Hg 0.5000 0.5000 0.5000
Sb 0.2500 0.2500 0.2500

Values from the calculation:
**V**: 24.75 Å³ per atom
**Uncorrected energy**: -4.158 eV/atom